Here is an optimized crystal structure of Dy12Ho7Hf from the Alexandria database. Energies are from GGA-PBE.

Size of the total moment ... 0.00 μB per formula unit
Volume ... 31.55 Å³/atom
ΔE_f ... 0.301 eV per atom
N(E_F) ... 0.9819 states/eV per atom

a b c (Å): 12.6330 12.6330 13.6958
angles (deg): 90.00 90.00 120.00
Space group R-3 (No. 148, hexagonal axes)
Unique sites:
Dy1 0.0003 0.4350 0.2487 (multiplicity 18)
Dy2 0.0663 0.1989 0.3458 (multiplicity 18)
Ho1 0.0000 0.0000 0.5000 (multiplicity 3)
Ho2 0.0667 0.8698 0.8532 (multiplicity 18)
Hf1 0.0000 0.0000 0.0000 (multiplicity 3)